[1]
Here is a relaxed structure of Dy2HoSc4 from Alexandria via LeMat-Bulk. Energies are from PBE-GGA.

Unit cell a=3.3639 b=7.6469 c=7.6469 alpha=87.75 beta=90.00 gamma=90.00
Closest atoms and distances in Å follow each position.
Fractional coordinates of all 7 atoms:
Sc  0.5000  0.5000  0.0000  6 Sc 3.15-3.36, 4 Dy 3.28
Sc  0.5000  0.0000  0.5000  6 Sc 3.15-3.36, 4 Dy 3.28
Sc  0.0000  0.7707  0.7707  6 Sc 3.15-3.36, 2 Dy 3.27, 2 Ho 3.43
Ho  0.5000  0.5000  0.5000  2 Ho 3.36, 4 Sc 3.43, 4 Dy 3.63
Sc  0.0000  0.2293  0.2293  6 Sc 3.15-3.36, 2 Dy 3.27, 2 Ho 3.43
Dy  0.0000  0.8038  0.1962  6 Sc 3.27-3.28, 2 Dy 3.36, 2 Ho 3.63
Dy  0.0000  0.1962  0.8038  6 Sc 3.27-3.28, 2 Dy 3.36, 2 Ho 3.63

Output
- energy above the lowest structure with this stoichiometry (kJ/mol of formula units) = 2.0
- size of the total moment (μB/cell) = 0.00

---

[2]
Here is a relaxed structure of Dy2Ho4Sc3 from Alexandria via LeMat-Bulk. Energies are from PBE-GGA.

Unit cell a=3.4826 b=3.4826 c=25.1387 alpha=90.00 beta=90.00 gamma=120.00
Closest atoms and distances in Å follow each position.
Fractional coordinates of all 9 atoms:
Sc  0.0000  0.0000  0.9801  6 Dy 3.31-3.35, 6 Sc 3.48
Dy  0.6667  0.3333  0.8736  3 Sc 3.35, 6 Dy 3.48, 3 Ho 3.53
Sc  0.6667  0.3333  0.6527  6 Ho 3.33, 6 Sc 3.48
Ho  0.6667  0.3333  0.4323  3 Sc 3.34, 9 Ho 3.48-3.52
Ho  0.0000  0.0000  0.7582  3 Sc 3.33, 6 Ho 3.48, 3 Dy 3.53
Dy  0.6667  0.3333  0.0846  3 Sc 3.31, 1 Ho 3.46, 6 Dy 3.48
Ho  0.6667  0.3333  0.2222  3 Sc 3.30, 1 Dy 3.46, 6 Ho 3.48
Sc  0.0000  0.0000  0.3264  6 Ho 3.30-3.34, 6 Sc 3.48
Ho  0.0000  0.0000  0.5471  3 Sc 3.33, 9 Ho 3.48-3.52

Output
- energy above the lowest structure with this stoichiometry (kJ/mol of formula units) = 0.0
- size of the total moment (μB/cell) = 0.00

---

[3]
Here is a relaxed structure of Dy5HoSc4 from Alexandria via LeMat-Bulk. Energies are from PBE-GGA.

Unit cell a=7.6832 b=8.7368 c=8.7327 alpha=90.00 beta=90.00 gamma=90.00
Closest atoms and distances in Å follow each position.
Fractional coordinates of all 20 atoms:
Sc  0.5875  0.0000  0.7300  4 Sc 3.15-3.33, 4 Dy 3.17-3.48, 1 Ho 3.24
Dy  0.2001  0.8081  0.1919  4 Sc 3.17-3.48, 5 Dy 3.35-3.52, 1 Ho 3.43
Sc  0.4128  0.7688  0.5000  4 Sc 3.15-3.33, 4 Dy 3.17-3.48, 1 Ho 3.24
Dy  0.0001  0.0000  0.5000  8 Dy 3.52, 4 Sc 3.75-3.76
Ho  0.8775  0.0000  0.0000  4 Sc 3.24, 4 Dy 3.43
Sc  0.5872  0.7312  0.0000  4 Sc 3.15-3.33, 4 Dy 3.17-3.48, 1 Ho 3.24
Dy  0.7999  0.6919  0.3081  4 Sc 3.17-3.48, 5 Dy 3.35-3.52, 1 Ho 3.43
Sc  0.4125  0.5000  0.2300  4 Sc 3.15-3.33, 4 Dy 3.17-3.48, 1 Ho 3.24
Ho  0.1225  0.5000  0.5000  4 Sc 3.24, 4 Dy 3.43
Sc  0.5872  0.2688  0.0000  4 Sc 3.15-3.33, 4 Dy 3.17-3.48, 1 Ho 3.24
Dy  0.7999  0.6919  0.6919  4 Sc 3.17-3.48, 5 Dy 3.35-3.52, 1 Ho 3.43
Dy  0.7999  0.3081  0.6919  4 Sc 3.17-3.48, 5 Dy 3.35-3.52, 1 Ho 3.43
Dy  0.7999  0.3081  0.3081  4 Sc 3.17-3.48, 5 Dy 3.35-3.52, 1 Ho 3.43
Sc  0.4128  0.2312  0.5000  4 Sc 3.15-3.33, 4 Dy 3.17-3.48, 1 Ho 3.24
Sc  0.5875  0.0000  0.2700  4 Sc 3.15-3.33, 4 Dy 3.17-3.48, 1 Ho 3.24
Sc  0.4125  0.5000  0.7700  4 Sc 3.15-3.33, 4 Dy 3.17-3.48, 1 Ho 3.24
Dy  0.9999  0.5000  0.0000  8 Dy 3.52, 4 Sc 3.75-3.76
Dy  0.2001  0.8081  0.8081  4 Sc 3.17-3.48, 5 Dy 3.35-3.52, 1 Ho 3.43
Dy  0.2001  0.1919  0.1919  4 Sc 3.17-3.48, 5 Dy 3.35-3.52, 1 Ho 3.43
Dy  0.2001  0.1919  0.8081  4 Sc 3.17-3.48, 5 Dy 3.35-3.52, 1 Ho 3.43

Output
- energy above the lowest structure with this stoichiometry (kJ/mol of formula units) = 109.4
- size of the total moment (μB/cell) = 0.00

---

[4]
Here is a relaxed structure of Dy2Ho3Sc from Alexandria via LeMat-Bulk. Energies are from PBE-GGA.

Unit cell a=3.4220 b=8.8672 c=12.6795 alpha=78.25 beta=82.24 gamma=78.87
Closest atoms and distances in Å follow each position.
Fractional coordinates of all 12 atoms:
Sc  0.4371  0.4844  0.6414  4 Dy 3.38-3.44, 3 Sc 3.42-3.51, 4 Ho 3.54-3.61
Ho  0.0374  0.1425  0.7826  3 Dy 3.38-3.58, 8 Ho 3.42-3.72, 2 Sc 3.61
Ho  0.4009  0.1723  0.0259  6 Ho 3.18-3.55, 3 Dy 3.41-3.45
Ho  0.5991  0.8277  0.9741  6 Ho 3.18-3.55, 3 Dy 3.41-3.45
Ho  0.9626  0.8575  0.2174  3 Dy 3.38-3.58, 8 Ho 3.42-3.72, 2 Sc 3.61
Ho  0.2587  0.1894  0.2933  4 Dy 3.27-3.41, 5 Ho 3.39-3.63, 2 Sc 3.54
Dy  0.3444  0.8416  0.4697  2 Sc 3.38-3.44, 5 Ho 3.40-3.58, 4 Dy 3.42-3.45
Ho  0.7413  0.8106  0.7067  4 Dy 3.27-3.41, 5 Ho 3.39-3.63, 2 Sc 3.54
Dy  0.8202  0.4798  0.8797  5 Ho 3.27-3.45, 4 Dy 3.42-3.55, 2 Sc 3.44
Sc  0.5629  0.5156  0.3586  4 Dy 3.38-3.44, 3 Sc 3.42-3.51, 4 Ho 3.54-3.61
Dy  0.6556  0.1584  0.5303  2 Sc 3.38-3.44, 5 Ho 3.40-3.58, 4 Dy 3.42-3.45
Dy  0.1798  0.5202  0.1203  5 Ho 3.27-3.45, 4 Dy 3.42-3.55, 2 Sc 3.44

Output
- energy above the lowest structure with this stoichiometry (kJ/mol of formula units) = 62.8
- size of the total moment (μB/cell) = 0.01

---

[5]
Here is a relaxed structure of Dy4Ho7Sc from Alexandria via LeMat-Bulk. Energies are from PBE-GGA.

Unit cell a=5.7527 b=11.5658 c=6.5973 alpha=83.51 beta=64.15 gamma=75.60
Closest atoms and distances in Å follow each position.
Fractional coordinates of all 12 atoms:
Dy  0.7849  0.6662  0.7639  5 Ho 3.27-3.65, 2 Dy 3.48
Ho  0.3674  0.4926  0.7726  4 Ho 3.24-3.62, 5 Dy 3.27-3.54
Sc  0.0000  0.0000  0.0000  4 Ho 2.88-3.02
Ho  0.6326  0.5074  0.2274  4 Ho 3.24-3.62, 5 Dy 3.27-3.54
Ho  0.9256  0.3006  0.8482  4 Ho 3.24-3.62, 1 Sc 3.48
Dy  0.6394  0.2248  0.4964  7 Ho 3.33-3.66, 2 Dy 3.48
Ho  0.7928  0.9253  0.4891  1 Sc 3.02, 4 Ho 3.15-3.33, 4 Dy 3.32-3.36
Dy  0.3606  0.7752  0.5036  7 Ho 3.33-3.66, 2 Dy 3.48
Ho  0.5000  0.0000  0.0000  2 Sc 2.88, 2 Ho 3.15
Ho  0.2072  0.0747  0.5109  1 Sc 3.02, 4 Ho 3.15-3.33, 4 Dy 3.32-3.36
Ho  0.0744  0.6994  0.1518  4 Ho 3.24-3.62, 1 Sc 3.48
Dy  0.2151  0.3338  0.2361  5 Ho 3.27-3.65, 2 Dy 3.48

Output
- energy above the lowest structure with this stoichiometry (kJ/mol of formula units) = 214.7
- size of the total moment (μB/cell) = 0.64

---

[6]
Here is a relaxed structure of Dy2Ho2Sc from Alexandria via LeMat-Bulk. Energies are from PBE-GGA.

Unit cell a=9.0428 b=9.0428 c=3.6961 alpha=90.00 beta=90.00 gamma=90.00
Closest atoms and distances in Å follow each position.
Fractional coordinates of all 10 atoms:
Dy  0.6312  0.8688  0.0000  6 Ho 3.15-3.30, 1 Dy 3.35
Ho  0.1689  0.3311  0.5000  6 Dy 3.15-3.30
Dy  0.3688  0.1312  0.0000  6 Ho 3.15-3.30, 1 Dy 3.35
Dy  0.8688  0.3688  0.0000  6 Ho 3.15-3.30, 1 Dy 3.35
Sc  0.5000  0.5000  0.0000  4 Dy 3.54, 2 Sc 3.70, 8 Ho 3.84
Ho  0.3311  0.8311  0.5000  6 Dy 3.15-3.30
Ho  0.8311  0.6689  0.5000  6 Dy 3.15-3.30
Ho  0.6689  0.1689  0.5000  6 Dy 3.15-3.30
Dy  0.1312  0.6312  0.0000  6 Ho 3.15-3.30, 1 Dy 3.35
Sc  0.0000  0.0000  0.0000  4 Dy 3.54, 2 Sc 3.70, 8 Ho 3.84

Output
- energy above the lowest structure with this stoichiometry (kJ/mol of formula units) = 64.3
- size of the total moment (μB/cell) = 0.00

---

[7]
Here is a relaxed structure of Dy4HoSc2 from Alexandria via LeMat-Bulk. Energies are from PBE-GGA.

Unit cell a=6.1096 b=6.5316 c=10.8294 alpha=90.79 beta=106.38 gamma=89.99
Closest atoms and distances in Å follow each position.
Fractional coordinates of all 14 atoms:
Sc  0.4215  0.7490  0.0010  3 Ho 3.38-3.57, 2 Sc 3.39-3.42, 7 Dy 3.40-3.58
Dy  0.2698  0.0327  0.7171  4 Sc 3.40-3.57, 7 Dy 3.42-3.61, 1 Ho 3.43
Dy  0.7302  0.9673  0.2829  4 Sc 3.40-3.57, 7 Dy 3.42-3.61, 1 Ho 3.43
Sc  0.5785  0.2510  0.9990  3 Ho 3.38-3.57, 2 Sc 3.39-3.42, 7 Dy 3.40-3.58
Dy  0.4406  0.5329  0.7149  5 Sc 3.40-3.54, 5 Dy 3.43-3.53, 2 Ho 3.49-3.53
Dy  0.5594  0.4671  0.2851  5 Sc 3.40-3.54, 5 Dy 3.43-3.53, 2 Ho 3.49-3.53
Sc  0.8701  0.6732  0.5702  1 Sc 3.35, 10 Dy 3.38-3.57, 1 Ho 3.51
Dy  0.1568  0.1022  0.1434  4 Sc 3.41-3.58, 5 Dy 3.41-3.52, 3 Ho 3.41-3.57
Sc  0.1299  0.3268  0.4298  1 Sc 3.35, 10 Dy 3.38-3.57, 1 Ho 3.51
Dy  0.7064  0.1783  0.5694  4 Sc 3.38-3.56, 7 Dy 3.42-3.61, 1 Ho 3.47
Ho  0.9837  0.5994  0.1414  1 Ho 3.37, 4 Sc 3.38-3.57, 7 Dy 3.41-3.57
Dy  0.2936  0.8217  0.4306  4 Sc 3.38-3.56, 7 Dy 3.42-3.61, 1 Ho 3.47
Ho  0.0163  0.4006  0.8586  1 Ho 3.37, 4 Sc 3.38-3.57, 7 Dy 3.41-3.57
Dy  0.8432  0.8978  0.8566  4 Sc 3.41-3.58, 5 Dy 3.41-3.52, 3 Ho 3.41-3.57

Output
- energy above the lowest structure with this stoichiometry (kJ/mol of formula units) = 0.0
- size of the total moment (μB/cell) = 0.00

---

[8]
Here is a relaxed structure of Dy2Ho2Sc from Alexandria via LeMat-Bulk. Energies are from PBE-GGA.

Unit cell a=4.9303 b=6.0207 c=10.9880 alpha=89.98 beta=90.04 gamma=114.18
Closest atoms and distances in Å follow each position.
Fractional coordinates of all 10 atoms:
Ho  0.8484  0.6968  0.9505  4 Ho 3.45-3.50, 3 Sc 3.46-3.48, 5 Dy 3.47-3.49
Sc  0.7500  0.4999  0.2497  6 Ho 3.46-3.48, 6 Dy 3.46-3.48
Ho  0.9504  0.9008  0.6516  7 Dy 3.46-3.50, 3 Sc 3.47-3.48, 2 Ho 3.47-3.51
Ho  0.1516  0.3032  0.0495  4 Ho 3.45-3.50, 3 Sc 3.46-3.48, 5 Dy 3.47-3.49
Dy  0.6516  0.3031  0.5495  4 Dy 3.45-3.50, 3 Sc 3.47-3.48, 5 Ho 3.47-3.50
Dy  0.3484  0.6969  0.4505  4 Dy 3.45-3.50, 3 Sc 3.47-3.48, 5 Ho 3.47-3.50
Dy  0.5495  0.0991  0.8487  7 Ho 3.46-3.49, 3 Sc 3.46-3.48, 2 Dy 3.47-3.50
Dy  0.4505  0.9009  0.1513  7 Ho 3.46-3.49, 3 Sc 3.46-3.48, 2 Dy 3.47-3.50
Sc  0.2500  0.5001  0.7503  6 Ho 3.46-3.48, 6 Dy 3.46-3.48
Ho  0.0496  0.0992  0.3484  7 Dy 3.46-3.50, 3 Sc 3.47-3.48, 2 Ho 3.47-3.51

Output
- energy above the lowest structure with this stoichiometry (kJ/mol of formula units) = 0.0
- size of the total moment (μB/cell) = 0.00

---

[9]
Here is a relaxed structure of Dy3Ho3Sc2 from Alexandria via LeMat-Bulk. Energies are from PBE-GGA.

Unit cell a=5.4101 b=5.5949 c=8.7987 alpha=108.85 beta=107.91 gamma=90.00
Closest atoms and distances in Å follow each position.
Fractional coordinates of all 8 atoms:
Sc  0.2502  0.3082  0.5003  4 Dy 3.22-3.37, 4 Ho 3.23-3.37, 2 Sc 3.45
Dy  0.3607  0.9045  0.7213  4 Sc 3.22-3.37, 1 Dy 3.36, 5 Ho 3.49-3.56
Ho  0.1389  0.6806  0.2779  4 Sc 3.23-3.37, 1 Ho 3.38, 5 Dy 3.49-3.56
Sc  0.7498  0.6918  0.4997  4 Dy 3.22-3.37, 4 Ho 3.23-3.37, 2 Sc 3.45
Dy  0.5000  0.5000  0.0000  2 Dy 3.36, 4 Ho 3.49
Ho  0.8611  0.3194  0.7221  4 Sc 3.23-3.37, 1 Ho 3.38, 5 Dy 3.49-3.56
Dy  0.6393  0.0955  0.2787  4 Sc 3.22-3.37, 1 Dy 3.36, 5 Ho 3.49-3.56
Ho  0.0000  0.0000  0.0000  4 Ho 3.38-3.73, 4 Dy 3.49

Output
- energy above the lowest structure with this stoichiometry (kJ/mol of formula units) = 37.0
- size of the total moment (μB/cell) = 0.02

---

[10]
Here is a relaxed structure of DyHo4Sc2 from Alexandria via LeMat-Bulk. Energies are from PBE-GGA.

Unit cell a=5.4132 b=6.7599 c=11.5726 alpha=90.00 beta=103.53 gamma=90.00
Closest atoms and distances in Å follow each position.
Fractional coordinates of all 14 atoms:
Dy  0.0736  0.7500  0.1429  2 Sc 3.17, 4 Ho 3.24-3.38
Ho  0.2152  0.7500  0.4308  4 Sc 3.13-3.38, 1 Dy 3.24
Dy  0.9264  0.2500  0.8571  2 Sc 3.17, 4 Ho 3.24-3.38
Ho  0.6458  0.4996  0.2915  7 Ho 3.37-3.56, 5 Sc 3.54-3.73, 2 Dy 3.60-3.61
Ho  0.6458  0.0004  0.2915  7 Ho 3.37-3.56, 5 Sc 3.54-3.73, 2 Dy 3.60-3.61
Ho  0.9249  0.7500  0.8469  3 Sc 3.10-3.19, 3 Dy 3.33-3.38
Sc  0.7852  0.7500  0.5709  5 Ho 3.10-3.38
Sc  0.2148  0.2500  0.4291  5 Ho 3.10-3.38
Ho  0.7848  0.2500  0.5692  4 Sc 3.13-3.38, 1 Dy 3.24
Sc  0.5004  0.7500  0.9961  2 Dy 3.17, 2 Ho 3.18-3.19, 2 Sc 3.38
Sc  0.4996  0.2500  0.0039  2 Dy 3.17, 2 Ho 3.18-3.19, 2 Sc 3.38
Ho  0.3542  0.9996  0.7085  7 Ho 3.37-3.56, 5 Sc 3.54-3.73, 2 Dy 3.60-3.61
Ho  0.0751  0.2500  0.1531  3 Sc 3.10-3.19, 3 Dy 3.33-3.38
Ho  0.3542  0.5004  0.7085  7 Ho 3.37-3.56, 5 Sc 3.54-3.73, 2 Dy 3.60-3.61

Output
- energy above the lowest structure with this stoichiometry (kJ/mol of formula units) = 0.0
- size of the total moment (μB/cell) = 0.00

---

[11]
Here is a relaxed structure of Dy5Ho2Sc5 from Alexandria via LeMat-Bulk. Energies are from PBE-GGA.

Unit cell a=4.8335 b=7.6406 c=10.8413 alpha=115.05 beta=90.00 gamma=108.44
Closest atoms and distances in Å follow each position.
Fractional coordinates of all 12 atoms:
Dy  0.3353  0.6706  0.0007  4 Dy 3.39-3.45, 5 Sc 3.40-3.48, 3 Ho 3.45-3.46
Dy  0.5000  0.0000  0.5000  4 Ho 3.40, 6 Sc 3.41-3.46, 2 Dy 3.45
Dy  0.4124  0.8248  0.7479  7 Sc 3.32-3.44, 3 Dy 3.39-3.45, 2 Ho 3.47
Dy  0.6647  0.3294  0.9993  4 Dy 3.39-3.45, 5 Sc 3.40-3.48, 3 Ho 3.45-3.46
Sc  0.2500  0.5001  0.2540  4 Sc 3.36-3.44, 6 Dy 3.37-3.48, 2 Ho 3.42
Ho  0.9166  0.8333  0.2541  7 Dy 3.40-3.47, 5 Sc 3.41-3.47
Sc  0.0000  0.0000  0.0000  8 Dy 3.40-3.44, 2 Sc 3.44, 2 Ho 3.47
Ho  0.0834  0.1667  0.7459  7 Dy 3.40-3.47, 5 Sc 3.41-3.47
Dy  0.5876  0.1752  0.2521  7 Sc 3.32-3.44, 3 Dy 3.39-3.45, 2 Ho 3.47
Sc  0.8290  0.6580  0.4983  5 Dy 3.32-3.46, 5 Sc 3.34-3.39, 2 Ho 3.41-3.46
Sc  0.1710  0.3420  0.5017  5 Dy 3.32-3.46, 5 Sc 3.34-3.39, 2 Ho 3.41-3.46
Sc  0.7500  0.4999  0.7460  4 Sc 3.36-3.44, 6 Dy 3.37-3.48, 2 Ho 3.42

Output
- energy above the lowest structure with this stoichiometry (kJ/mol of formula units) = 0.0
- size of the total moment (μB/cell) = 0.00

---

[12]
Here is a relaxed structure of Dy7Ho4Sc from Alexandria via LeMat-Bulk. Energies are from PBE-GGA.

Unit cell a=6.7043 b=6.4038 c=11.6178 alpha=74.85 beta=50.79 gamma=82.16
Closest atoms and distances in Å follow each position.
Fractional coordinates of all 12 atoms:
Dy  0.0590  0.3181  0.6370  5 Dy 3.38-3.69, 4 Ho 3.43-3.52
Ho  0.3087  0.1629  0.3084  7 Dy 3.37-3.64, 2 Ho 3.42-3.50
Dy  0.8051  0.5040  0.9499  5 Dy 3.33-3.51, 1 Sc 3.36, 4 Ho 3.39-3.64
Dy  0.2775  0.8094  0.6156  5 Dy 3.24-3.58, 5 Ho 3.29-3.59
Dy  0.5000  0.0000  0.0000  2 Sc 3.35, 4 Ho 3.37-3.55, 4 Dy 3.51-3.69
Dy  0.1949  0.4960  0.0501  5 Dy 3.33-3.51, 1 Sc 3.36, 4 Ho 3.39-3.64
Sc  0.0000  0.0000  0.0000  2 Ho 3.26, 4 Dy 3.35-3.36
Ho  0.4663  0.3492  0.7202  1 Sc 3.26, 8 Dy 3.29-3.60, 2 Ho 3.42-3.50
Ho  0.6913  0.8371  0.6916  7 Dy 3.37-3.64, 2 Ho 3.42-3.50
Ho  0.5337  0.6508  0.2798  1 Sc 3.26, 8 Dy 3.29-3.60, 2 Ho 3.42-3.50
Dy  0.9410  0.6819  0.3630  5 Dy 3.38-3.69, 4 Ho 3.43-3.52
Dy  0.7225  0.1906  0.3844  5 Dy 3.24-3.58, 5 Ho 3.29-3.59

Output
- energy above the lowest structure with this stoichiometry (kJ/mol of formula units) = 0.0
- size of the total moment (μB/cell) = 0.00

---

Number 1: Fermi-level density of states 1.655 states/eV/atom, formation energy 0.176 eV/atom. Number 2: Fermi-level density of states 1.604 states/eV/atom, formation energy 0.056 eV/atom. Number 3: Fermi-level density of states 1.183 states/eV/atom, formation energy 0.160 eV/atom. Number 4: Fermi-level density of states 1.718 states/eV/atom, formation energy 0.144 eV/atom. Number 5: Fermi-level density of states 1.710 states/eV/atom, formation energy 0.287 eV/atom. Number 6: Fermi-level density of states 0.785 states/eV/atom, formation energy 0.171 eV/atom. Number 7: Fermi-level density of states 1.730 states/eV/atom, formation energy 0.021 eV/atom. Number 8: Fermi-level density of states 1.477 states/eV/atom, formation energy 0.038 eV/atom. Number 9: Fermi-level density of states 2.047 states/eV/atom, formation energy 0.089 eV/atom. Number 10: Fermi-level density of states 1.816 states/eV/atom, formation energy 0.145 eV/atom. Number 11: Fermi-level density of states 1.477 states/eV/atom, formation energy 0.050 eV/atom. Number 12: Fermi-level density of states 1.700 states/eV/atom, formation energy 0.101 eV/atom.